Material: BaTiFeO2
Method: DFT, GGA+U
State: relaxed

Computed properties:
- DOS(E_F): 0.34 states/eV/atom
- VASP energy: -5.553 eV/atom
- SG: No. 123

Structure (POSCAR):
```
BaTiFeO2
1.0
4.036 0.000 0.000
0.000 6.195 0.000
0.000 0.000 4.036
Ti O Ba Fe
1 2 1 1
Cartesian
0.000 0.000 0.000 Ti
0.000 0.000 2.018 O
2.018 0.000 0.000 O
0.000 3.097 0.000 Ba
2.018 3.097 2.018 Fe
```